1.
An optimized crystal structure of CrCoBr2, computed with PBE.

Computed properties:
E above lowest polymorph	0.00	kJ per mole of atoms
energy relative to the elements, uncorrected	0.03	eV/atom
DOS(E_F)	1.8	states/eV/cell
calculated volume	97	Å³ per cell

Unit cell a=3.7057 b=3.5807 c=7.3010 alpha=90.00 beta=94.70 gamma=90.00
With the nearest neighbours (Å) after each atom.
Atoms (fractional coordinates):
Cr 0.0000 0.0000 0.0000  3 Br 2.58-2.60, 4 Co 2.64-2.70
Co 0.5270 0.5000 0.0970  3 Br 2.34-2.38
Br 0.2708 0.5000 0.7933  1 Co 2.34, 2 Cr 2.60
Br 0.6846 0.0000 0.3026  2 Co 2.38, 1 Cr 2.58



2.
An optimized crystal structure of CrCoBr2, computed with PBE.

Computed properties:
E above lowest polymorph	1.30	kJ per mole of atoms
energy relative to the elements, uncorrected	0.04	eV/atom
DOS(E_F)	12.1	states/eV/cell
calculated volume	270	Å³ per cell

Unit cell a=3.5955 b=3.5955 c=24.1047 alpha=90.00 beta=90.00 gamma=120.00
With the nearest neighbours (Å) after each atom.
Atoms (fractional coordinates):
Cr 0.0000 0.0000 0.0000  3 Co 2.33
Cr 0.3333 0.6667 0.6667  3 Co 2.33
Cr 0.6667 0.3333 0.3333  3 Co 2.33
Co 0.0000 0.0000 0.2896  3 Cr 2.33, 3 Br 2.52
Co 0.3333 0.6667 0.9563  3 Cr 2.33, 3 Br 2.52
Co 0.6667 0.3333 0.6229  3 Cr 2.33, 3 Br 2.52
Br 0.0000 0.0000 0.5636  3 Co 2.52
Br 0.0000 0.0000 0.7336  3 Cr 2.63
Br 0.3333 0.6667 0.2303  3 Co 2.52
Br 0.3333 0.6667 0.4003  3 Cr 2.63
Br 0.6667 0.3333 0.0669  3 Cr 2.63
Br 0.6667 0.3333 0.8970  3 Co 2.52



- Which formula does entry 2 have?
  CrCoBr2



- Which of these has the lowest calculated volume?
  number 1



- What is the DOS(E_F) in the first record?
  1.8 states/eV/cell